Density functional theory data (PBE-GGA) for crystalline Ac5Co2Te at its relaxed geometry.

energy: -5.06 eV/atom
uncorrected formation energy: -322 meV per atom
density of states at the Fermi level: 15.227 states/eV/cell

Cell: 9.333 9.333 9.333 Å, 126.51 126.51 79.05°
Fractional positions:
Ac: 0.000 0.000 0.000
Ac: 0.024 0.524 0.812
Ac: 0.212 0.024 0.500
Ac: 0.288 0.788 0.812
Ac: 0.476 0.288 0.500
Ac: 0.500 0.500 0.000
Ac: 0.524 0.712 0.500
Ac: 0.712 0.212 0.188
Ac: 0.788 0.976 0.500
Ac: 0.976 0.476 0.188
Co: 0.146 0.354 0.500
Co: 0.354 0.854 0.208
Co: 0.646 0.146 0.792
Co: 0.854 0.646 0.500
Te: 0.250 0.250 0.000
Te: 0.750 0.750 0.000